[1]
First-principles (PBE) data for a relaxed HoPuCu2 crystal, as listed in the Alexandria database.

Cell: 3.694 3.694 8.044 Å, 76.73 76.73 60.00°
Fractional coordinates of all 4 atoms:
Ho  0.000  0.000  0.000
Cu  0.252  0.252  0.243
Cu  0.748  0.748  0.757
Pu  0.500  0.500  0.500

Output
- excess energy over the best structure of this formula in the dataset (eV per atom) = 0.260
- energy relative to the elements (eV per formula unit) = 0.751
- space-group type = R-3m

[2]
First-principles (PBE) data for a relaxed BaTi2WBr crystal, as listed in the Alexandria database.

Cell: 5.016 5.596 5.016 Å, 90.00 90.00 90.00°
Fractional coordinates of all 5 atoms:
Br  0.000  0.500  0.000
Ba  0.000  0.000  0.000
W  0.500  0.500  0.500
Ti  0.000  0.000  0.500
Ti  0.500  0.000  0.000

Output
- space-group type = P4/mmm

Sequential spin magnetization output: 5.859; 0.996 μB/f.u.
Sequential total energy output: -6.59; -3.89 eV per atom